No. 1
Below is an optimized crystal structure of Ag2HgCl, with properties calculated at the PBE-GGA level.

The structure belongs to space group Immm (No. 71); the cell edges are 3.182, 6.113 and 9.170 Å and the angles 90.00°, 90.00° and 90.00°. The asymmetric unit holds Ag at (0.000, 0.000, 0.240), Hg at (0.000, 0.500, 0.000) and Cl at (0.000, 0.500, 0.500).

The uncorrected formation energy comes out at -5.1 kJ per mole of atoms. The relative energy among the computed polymorphs is 96 meV/atom. The density of states at the Fermi level comes out at 0.65 states/eV/f.u. As for the calculated total energy: -2.02 eV per atom.



No. 2
Below is an optimized crystal structure of TbDy6Er, with properties calculated at the PBE-GGA level.

The structure belongs to space group P4/mmm (No. 123); the cell edges are 4.998, 4.998 and 9.988 Å and the angles 90.00°, 90.00° and 90.00°. The asymmetric unit holds Tb at (0.000, 0.000, 0.000), Dy at (0.000, 0.500, 0.251), Dy at (0.500, 0.500, 0.000), Dy at (0.500, 0.500, 0.500) and Er at (0.000, 0.000, 0.500).

For the formation energy, the calculation gives 0.0207 eV per atom. The relative energy among the computed polymorphs is 0 meV/atom. The density of states at the Fermi level comes out at 11.84 states/eV/f.u. As for the calculated total energy: -4.58 eV per atom.



No. 3
Below is an optimized crystal structure of CaY3Cd6, with properties calculated at the PBE-GGA level.

The structure belongs to space group P2_1/m (No. 11); the cell edges are 9.178, 5.214 and 11.144 Å and the angles 90.00°, 106.09° and 90.00°. The asymmetric unit holds Ca at (0.054, 0.250, 0.392), Y at (0.239, 0.250, 0.999), Y at (0.355, 0.750, 0.797), Y at (0.468, 0.250, 0.608), Cd at (0.054, 0.750, 0.903), Cd at (0.140, 0.750, 0.199), Cd at (0.159, 0.250, 0.696), Cd at (0.248, 0.750, 0.502), Cd at (0.343, 0.250, 0.293) and Cd at (0.445, 0.750, 0.095).

For the formation energy, the calculation gives -0.3062 eV per atom. The density of states at the Fermi level comes out at 6.37 states/eV/f.u. As for the calculated total energy: -2.99 eV per atom.



No. 4
Below is an optimized crystal structure of MgSb2Te, with properties calculated at the PBE-GGA level.

The structure belongs to space group Cm (No. 8); the cell edges are 13.500, 4.092 and 4.415 Å and the angles 90.00°, 101.94° and 90.00°. The asymmetric unit holds Mg at (0.000, 0.000, 0.000), Sb at (0.052, 0.500, 0.515), Sb at (0.206, 0.500, 0.084) and Te at (0.346, 0.000, 0.788).

The uncorrected formation energy comes out at -7.7 kJ per mole of atoms. The relative energy among the computed polymorphs is 191 meV/atom. The density of states at the Fermi level comes out at 1.59 states/eV/f.u. As for the calculated total energy: -3.33 eV per atom.



No. 5
Below is an optimized crystal structure of SnAsCl2, with properties calculated at the PBE-GGA level.

The structure belongs to space group R-3m (No. 166, hexagonal axes); the cell edges are 3.3185, 3.3185 and 29.4626 Å and the angles 90.00°, 90.00° and 120.00°. The asymmetric unit holds Sn at (0.0000, 0.0000, 0.0000), As at (0.0000, 0.0000, 0.5000) and Cl at (0.0000, 0.0000, 0.0921).

The uncorrected formation energy comes out at -5.2 kJ per mole of atoms. The relative energy among the computed polymorphs is 186 meV/atom. The density of states at the Fermi level comes out at 1.56 states/eV/f.u. As for the calculated total energy: -3.14 eV per atom.



No. 6
Below is an optimized crystal structure of ZrTiCSe, with properties calculated at the PBE-GGA level.

The structure belongs to space group R3m (No. 160, hexagonal axes); the cell edges are 3.3638, 3.3638 and 18.4280 Å and the angles 90.00°, 90.00° and 120.00°. The asymmetric unit holds Zr at (0.0000, 0.0000, 0.0000), Ti at (0.0000, 0.0000, 0.2063), C at (0.0000, 0.0000, 0.5947) and Se at (0.0000, 0.0000, 0.7750).

The uncorrected formation energy comes out at -104.8 kJ per mole of atoms. The density of states at the Fermi level comes out at 0.48 states/eV/f.u. As for the calculated total energy: -8.37 eV per atom.



No. 7
Below is an optimized crystal structure of ReNi2Se, with properties calculated at the PBE-GGA level.

The structure belongs to space group Imm2 (No. 44); the cell edges are 2.816, 3.846 and 10.917 Å and the angles 90.00°, 90.00° and 90.00°. The asymmetric unit holds Re at (0.000, 0.000, 0.000), Ni at (0.000, 0.000, 0.426), Ni at (0.000, 0.500, 0.284) and Se at (0.000, 0.500, 0.690).

The uncorrected formation energy comes out at 36.5 kJ per mole of atoms. The density of states at the Fermi level comes out at 5.03 states/eV/f.u. As for the calculated total energy: -6.50 eV per atom.



No. 8
Below is an optimized crystal structure of Al2CuAu2, with properties calculated at the PBE-GGA level.

The structure belongs to space group P4/mbm (No. 127); the cell edges are 6.882, 6.882 and 3.521 Å and the angles 90.00°, 90.00° and 90.00°. The asymmetric unit holds Al at (0.150, 0.350, 0.000), Cu at (0.000, 0.000, 0.000) and Au at (0.152, 0.652, 0.500).

For the formation energy, the calculation gives -0.1387 eV per atom. The relative energy among the computed polymorphs is 142 meV/atom. The density of states at the Fermi level comes out at 2.20 states/eV/f.u. As for the calculated total energy: -3.77 eV per atom.



No. 9
Below is an optimized crystal structure of KHg2H2, with properties calculated at the PBE-GGA level.

The structure belongs to space group I4/mmm (No. 139); the cell edges are 4.395, 4.395 and 9.981 Å and the angles 90.00°, 90.00° and 90.00°. The asymmetric unit holds K at (0.000, 0.000, 0.000), Hg at (0.000, 0.000, 0.346) and H at (0.000, 0.500, 0.250).

The relative energy among the computed polymorphs is 163 meV/atom. The density of states at the Fermi level comes out at 1.07 states/eV/f.u. As for the calculated total energy: -1.52 eV per atom.



No. 10
Below is an optimized crystal structure of ZrCr2Se, with properties calculated at the PBE-GGA level.

The structure belongs to space group Pmmm (No. 47); the cell edges are 3.284, 4.378 and 4.728 Å and the angles 90.00°, 90.00° and 90.00°. The asymmetric unit holds Zr at (0.000, 0.000, 0.000), Cr at (0.000, 0.500, 0.500), Cr at (0.500, 0.000, 0.500) and Se at (0.500, 0.500, 0.000).

The uncorrected formation energy comes out at 3.1 kJ per mole of atoms. The density of states at the Fermi level comes out at 3.66 states/eV/f.u. As for the calculated total energy: -7.79 eV per atom.



No. 11
Below is an optimized crystal structure of LaW2Cl, with properties calculated at the PBE-GGA level.

The structure belongs to space group P4/mmm (No. 123); the cell edges are 3.821, 3.821 and 5.960 Å and the angles 90.00°, 90.00° and 90.00°. The asymmetric unit holds La at (0.000, 0.000, 0.000), W at (0.000, 0.500, 0.500) and Cl at (0.500, 0.500, 0.000).

The uncorrected formation energy comes out at 43.2 kJ per mole of atoms. The relative energy among the computed polymorphs is 485 meV/atom. The density of states at the Fermi level comes out at 5.57 states/eV/f.u. As for the calculated total energy: -7.72 eV per atom.



No. 12
Below is an optimized crystal structure of Sm4YTm2Sc, with properties calculated at the PBE-GGA level.

The structure belongs to space group P4/mmm (No. 123); the cell edges are 5.048, 5.048 and 9.833 Å and the angles 90.00°, 90.00° and 90.00°. The asymmetric unit holds Sm at (0.000, 0.500, 0.244), Y at (0.000, 0.000, 0.500), Tm at (0.000, 0.000, 0.000), Tm at (0.500, 0.500, 0.500) and Sc at (0.500, 0.500, 0.000).

For the formation energy, the calculation gives 0.0311 eV per atom. The density of states at the Fermi level comes out at 11.53 states/eV/f.u. As for the calculated total energy: -5.05 eV per atom.



No. 13
Below is an optimized crystal structure of CaPuPN, with properties calculated at the PBE-GGA level.

The structure belongs to space group P-6m2 (No. 187); the cell edges are 4.6406, 4.6406 and 4.3227 Å and the angles 90.00°, 90.00° and 120.00°. The asymmetric unit holds Ca at (0.0000, 0.0000, 0.0000), Pu at (0.6667, 0.3333, 0.5000), P at (0.3333, 0.6667, 0.5000) and N at (0.6667, 0.3333, 0.0000).

The uncorrected formation energy comes out at -82.2 kJ per mole of atoms. The density of states at the Fermi level comes out at 6.60 states/eV/f.u. As for the calculated total energy: -8.37 eV per atom.



No. 14
Below is an optimized crystal structure of Ba2PuPdSe5, with properties calculated at the PBE-GGA level.

The structure belongs to space group Cmc2_1 (No. 36); the cell edges are 4.348, 18.831 and 13.162 Å and the angles 90.00°, 90.00° and 90.00°. The asymmetric unit holds Ba at (0.000, 0.116, 0.000), Ba at (0.000, 0.126, 0.362), Pu at (0.000, 0.196, 0.682), Pd at (0.000, 0.430, 0.085), Se at (0.000, 0.045, 0.663), Se at (0.000, 0.297, 0.040), Se at (0.000, 0.307, 0.324), Se at (0.000, 0.344, 0.681) and Se at (0.000, 0.499, 0.922).

The uncorrected formation energy comes out at -130.8 kJ per mole of atoms. The density of states at the Fermi level comes out at 11.30 states/eV/f.u. As for the calculated total energy: -5.89 eV per atom.



No. 15
Below is an optimized crystal structure of BeAu2Se, with properties calculated at the PBE-GGA level.

The structure belongs to space group Pm (No. 6); the cell edges are 3.853, 3.442 and 5.781 Å and the angles 90.00°, 92.52° and 90.00°. The asymmetric unit holds Be at (0.000, 0.000, 0.000), Au at (0.445, 0.500, 0.175), Au at (0.980, 0.000, 0.395) and Se at (0.837, 0.500, 0.792).

The uncorrected formation energy comes out at -3.3 kJ per mole of atoms. The relative energy among the computed polymorphs is 4 meV/atom. The density of states at the Fermi level comes out at 1.50 states/eV/f.u. As for the calculated total energy: -3.48 eV per atom.



No. 16
Below is an optimized crystal structure of NaPu2Br8, with properties calculated at the PBE-GGA level.

The structure belongs to space group C2/m (No. 12); the cell edges are 8.950, 13.026 and 5.804 Å and the angles 90.00°, 101.46° and 90.00°. The asymmetric unit holds Na at (0.000, 0.000, 0.000), Pu at (0.000, 0.318, 0.500), Br at (0.000, 0.243, 0.000), Br at (0.108, 0.500, 0.787) and Br at (0.196, 0.134, 0.593).

The uncorrected formation energy comes out at -129.4 kJ per mole of atoms. The relative energy among the computed polymorphs is 0 meV/atom. The density of states at the Fermi level comes out at 19.60 states/eV/f.u. As for the calculated total energy: -5.28 eV per atom.



No. 17
Below is an optimized crystal structure of ScTlH3, with properties calculated at the PBE-GGA level.

The structure belongs to space group Pm-3m (No. 221); the cell edges are 4.002, 4.002 and 4.002 Å and the angles 90.00°, 90.00° and 90.00°. The asymmetric unit holds Sc at (0.000, 0.000, 0.000), Tl at (0.500, 0.500, 0.500) and H at (0.000, 0.500, 0.500).

The relative energy among the computed polymorphs is 777 meV/atom. The density of states at the Fermi level comes out at 3.93 states/eV/f.u. As for the calculated total energy: -3.13 eV per atom.



No. 18
Below is an optimized crystal structure of La3TbSm2Sb6, with properties calculated at the PBE-GGA level.

The structure belongs to space group C2/m (No. 12); the cell edges are 7.866, 13.620 and 7.854 Å and the angles 90.00°, 109.49° and 90.00°. The asymmetric unit holds La at (0.000, 0.000, 0.000), La at (0.000, 0.332, 0.000), Tb at (0.000, 0.500, 0.500), Sm at (0.000, 0.166, 0.500), Sb at (0.245, 0.335, 0.740) and Sb at (0.250, 0.000, 0.741).

The uncorrected formation energy comes out at -117.7 kJ per mole of atoms. The density of states at the Fermi level comes out at 2.04 states/eV/f.u. As for the calculated total energy: -5.68 eV per atom.



No. 19
Below is an optimized crystal structure of TbHo6Zn, with properties calculated at the PBE-GGA level.

The structure belongs to space group R-3 (No. 148, hexagonal axes); the cell edges are 9.2102, 9.2102 and 9.6920 Å and the angles 90.00°, 90.00° and 120.00°. The asymmetric unit holds Tb at (0.0000, 0.0000, 0.0000), Ho at (0.0307, 0.2498, 0.7057) and Zn at (0.0000, 0.0000, 0.5000).

For the formation energy, the calculation gives 0.0461 eV per atom. The density of states at the Fermi level comes out at 9.68 states/eV/f.u. As for the calculated total energy: -4.13 eV per atom.



No. 20
Below is an optimized crystal structure of RbBa2BeIr, with properties calculated at the PBE-GGA level.

The structure belongs to space group P4/mmm (No. 123); the cell edges are 5.953, 5.953 and 5.522 Å and the angles 90.00°, 90.00° and 90.00°. The asymmetric unit holds Rb at (0.000, 0.000, 0.000), Ba at (0.000, 0.500, 0.500), Be at (0.000, 0.000, 0.500) and Ir at (0.500, 0.500, 0.000).

For the formation energy, the calculation gives 1.0739 eV per atom. The density of states at the Fermi level comes out at 5.96 states/eV/f.u. As for the calculated total energy: -2.41 eV per atom.